Computed, not measured: a relaxed Na3Ti3NbSe8 crystal at the PBE-GGA level of DFT.

a = 7.3043 Å, b = 7.3023 Å, c = 8.3832 Å
α = 115.82°, β = 90.00°, γ = 120.01°
Each line ends with the local moment (μB).
Positions (direct):
1 Se 0.7582 0.5164 0.2851  -0.01
2 Se 0.2418 0.4836 0.7149  -0.01
3 Se 0.7375 0.4750 0.7124  -0.02
4 Se 0.7315 0.9732 0.7149  -0.01
5 Se 0.2625 0.5250 0.2876  -0.02
6 Se 0.7583 0.0268 0.2851  -0.01
7 Se 0.2685 0.0268 0.2851  -0.01
8 Se 0.2417 0.9732 0.7149  -0.01
9 Na 0.0000 0.0000 0.0000  0.00
10 Na 0.5000 0.5000 0.0000  0.00
11 Na 0.0000 0.5000 0.0000  0.00
12 Nb 0.0000 0.0000 0.5000  0.37
13 Ti 0.0000 0.5000 0.5000  0.48
14 Ti 0.5000 0.0000 0.5000  0.48
15 Ti 0.5000 0.5000 0.5000  0.48

Properties
Final energy, eV per atom: -5.47
Energy relative to the elements, uncorrected, eV/atom: -1.101


Computed, not measured: a relaxed NaNbTl2Se crystal at the PBE-GGA level of DFT.

a = 5.9405 Å, b = 4.8497 Å, c = 5.9405 Å
α = 90.00°, β = 90.00°, γ = 90.00°
Positions (direct):
1 Tl 0.0000 0.0000 0.5000
2 Tl 0.5000 0.0000 0.0000
3 Se 0.0000 0.0000 0.0000
4 Nb 0.0000 0.5000 0.0000
5 Na 0.5000 0.5000 0.5000

Properties
Final energy, eV per atom: -3.40
Energy relative to the elements, uncorrected, eV/atom: 0.523


Computed, not measured: a relaxed Na2NbTl3Se6 crystal at the PBE-GGA level of DFT.

a = 7.3812 Å, b = 7.3812 Å, c = 7.3349 Å
α = 99.85°, β = 99.85°, γ = 120.31°
Positions (direct):
1 Na 0.3323 0.6677 0.0000
2 Na 0.6677 0.3323 0.0000
3 Se 0.9271 0.6362 0.7814
4 Se 0.2253 0.2253 0.7876
5 Se 0.3638 0.0729 0.2186
6 Se 0.7747 0.7747 0.2124
7 Se 0.6362 0.9271 0.7814
8 Se 0.0729 0.3638 0.2186
9 Nb 0.0000 0.0000 0.0000
10 Tl 0.5000 0.5000 0.5000
11 Tl 0.1581 0.8419 0.5000
12 Tl 0.8419 0.1581 0.5000

Properties
Final energy, eV per atom: -4.01
Energy relative to the elements, uncorrected, eV/atom: -0.617


Computed, not measured: a relaxed Na3NbTl2Se6 crystal at the PBE-GGA level of DFT.

a = 7.2374 Å, b = 7.2374 Å, c = 7.2525 Å
α = 99.85°, β = 99.85°, γ = 119.91°
Positions (direct):
1 Na 0.5000 0.5000 0.5000
2 Na 0.8228 0.1772 0.5000
3 Na 0.1772 0.8228 0.5000
4 Tl 0.6649 0.3351 0.0000
5 Tl 0.3351 0.6649 0.0000
6 Se 0.0742 0.3718 0.2252
7 Se 0.6282 0.9258 0.7748
8 Se 0.3718 0.0742 0.2252
9 Se 0.9258 0.6282 0.7748
10 Se 0.7824 0.7824 0.2231
11 Se 0.2176 0.2176 0.7769
12 Nb 0.0000 0.0000 0.0000

Properties
Final energy, eV per atom: -4.02
Energy relative to the elements, uncorrected, eV/atom: -0.718


Computed, not measured: a relaxed Na3Tm3NbSe8 crystal at the PBE-GGA level of DFT.

a = 8.0011 Å, b = 8.0038 Å, c = 8.4933 Å
α = 118.16°, β = 90.00°, γ = 119.99°
Each line ends with the local moment (μB).
Positions (direct):
1 Tm 0.5000 0.5000 0.5000  0.02
2 Tm 0.0000 0.5000 0.5000  0.02
3 Tm 0.5000 0.0000 0.5000  0.02
4 Se 0.2309 0.4617 0.7174  -0.01
5 Se 0.7559 0.9868 0.7173  -0.01
6 Se 0.7691 0.5383 0.2826  -0.01
7 Se 0.7429 0.4858 0.7284  0.00
8 Se 0.7691 0.0132 0.2827  -0.01
9 Se 0.2571 0.5142 0.2716  0.00
10 Se 0.2441 0.0132 0.2827  -0.01
11 Se 0.2309 0.9868 0.7173  -0.01
12 Na 0.0000 0.5000 0.0000  0.00
13 Na 0.0000 0.0000 0.0000  0.00
14 Na 0.5000 0.5000 0.0000  0.00
15 Nb 0.0000 0.0000 0.5000  0.83

Properties
Final energy, eV per atom: -5.15
Energy relative to the elements, uncorrected, eV/atom: -1.463


Computed, not measured: a relaxed Na2UNb2Se6 crystal at the PBE-GGA level of DFT.

a = 6.4183 Å, b = 6.4183 Å, c = 7.6134 Å
α = 96.51°, β = 96.51°, γ = 117.69°
Each line ends with the local moment (μB).
Positions (direct):
1 Se 0.4115 0.0557 0.7090  -0.03
2 Se 0.0557 0.4115 0.7090  -0.03
3 Se 0.9443 0.5885 0.2910  -0.03
4 Se 0.2722 0.2722 0.2558  -0.03
5 Se 0.7278 0.7278 0.7442  -0.03
6 Se 0.5885 0.9443 0.2910  -0.03
7 Na 0.1751 0.8249 0.0000  0.00
8 Na 0.8249 0.1751 0.0000  0.00
9 U 0.0000 0.0000 0.5000  1.57
10 Nb 0.6341 0.3659 0.5000  0.23
11 Nb 0.3659 0.6341 0.5000  0.23

Properties
Final energy, eV per atom: -6.00
Energy relative to the elements, uncorrected, eV/atom: -1.000


Computed, not measured: a relaxed Na3Y3NbSe8 crystal at the PBE-GGA level of DFT.

a = 8.0966 Å, b = 8.0960 Å, c = 8.5229 Å
α = 118.38°, β = 90.00°, γ = 120.00°
Each line ends with the local moment (μB).
Positions (direct):
1 Nb 0.0000 0.0000 0.5000  0.82
2 Se 0.2560 0.5120 0.2680  0.00
3 Se 0.7709 0.0105 0.2815  -0.01
4 Se 0.7440 0.4880 0.7320  0.00
5 Se 0.2291 0.9895 0.7185  -0.01
6 Se 0.7603 0.9895 0.7185  -0.01
7 Se 0.2397 0.0105 0.2815  -0.01
8 Se 0.2292 0.4584 0.7185  -0.01
9 Se 0.7708 0.5416 0.2815  -0.01
10 Y 0.5000 0.5000 0.5000  0.02
11 Y 0.5000 0.0000 0.5000  0.02
12 Y 0.0000 0.5000 0.5000  0.02
13 Na 0.5000 0.5000 0.0000  0.00
14 Na 0.0000 0.0000 0.0000  0.00
15 Na 0.0000 0.5000 0.0000  0.00

Properties
Final energy, eV per atom: -5.56
Energy relative to the elements, uncorrected, eV/atom: -1.471


Computed, not measured: a relaxed NaNbSi2 crystal at the PBE-GGA level of DFT.

a = 4.7087 Å, b = 4.7087 Å, c = 9.2905 Å
α = 75.32°, β = 75.32°, γ = 90.00°
Positions (direct):
1 Nb 0.7500 0.2500 0.5000
2 Nb 0.0000 0.0000 0.0000
3 Si 0.7773 0.1250 0.2500
4 Si 0.9727 0.6250 0.2500
5 Si 0.3750 0.2227 0.7500
6 Si 0.8750 0.0273 0.7500
7 Na 0.2500 0.7500 0.5000
8 Na 0.5000 0.5000 0.0000

Properties
Final energy, eV per atom: -5.02
Energy relative to the elements, uncorrected, eV/atom: 0.542


Computed, not measured: a relaxed NaNbSn2 crystal at the PBE-GGA level of DFT.

a = 3.6131 Å, b = 3.6131 Å, c = 7.1653 Å
α = 90.00°, β = 90.00°, γ = 90.00°
Each line ends with the local moment (μB).
Positions (direct):
1 Nb 0.5000 0.5000 0.0000  0.29
2 Sn 0.0000 0.0000 0.7882  -0.01
3 Sn 0.0000 0.0000 0.2118  -0.01
4 Na 0.5000 0.5000 0.5000  0.00

Properties
Final energy, eV per atom: -4.83


Computed, not measured: a relaxed NaNbSn2 crystal at the PBE-GGA level of DFT.

a = 3.2616 Å, b = 3.2616 Å, c = 10.8432 Å
α = 81.35°, β = 81.35°, γ = 60.00°
Positions (direct):
1 Sn 0.0941 0.0941 0.7178
2 Sn 0.9059 0.9059 0.2822
3 Nb 0.5000 0.5000 0.5000
4 Na 0.0000 0.0000 0.0000

Properties
Final energy, eV per atom: -4.80


Computed, not measured: a relaxed Na2Nb2Sn crystal at the PBE-GGA level of DFT.

a = 3.9374 Å, b = 3.9374 Å, c = 8.2064 Å
α = 76.12°, β = 76.12°, γ = 90.00°
Each line ends with the local moment (μB).
Positions (direct):
1 Sn 0.0000 0.0000 0.0000  -0.01
2 Na 0.7500 0.2500 0.5000  0.00
3 Na 0.2500 0.7500 0.5000  0.00
4 Nb 0.5741 0.5741 0.8518  0.09
5 Nb 0.4259 0.4259 0.1482  0.09

Properties
Final energy, eV per atom: -4.75
Energy above the most stable polymorph in this dataset, meV/atom: 0


Computed, not measured: a relaxed Na2Nb2Sn crystal at the PBE-GGA level of DFT.

a = 6.9787 Å, b = 6.9787 Å, c = 5.5143 Å
α = 90.00°, β = 90.00°, γ = 90.00°
Each line ends with the local moment (μB).
Positions (direct):
1 Na 0.3236 0.1764 0.5000  0.00
2 Na 0.6764 0.8236 0.5000  0.00
3 Na 0.1764 0.6764 0.5000  0.00
4 Na 0.8236 0.3236 0.5000  0.00
5 Nb 0.1167 0.3833 0.0000  0.28
6 Nb 0.3833 0.8833 0.0000  0.31
7 Nb 0.8833 0.6167 0.0000  0.29
8 Nb 0.6167 0.1167 0.0000  0.32
9 Sn 0.5000 0.5000 0.0000  0.01
10 Sn 0.0000 0.0000 0.0000  0.01

Properties
Final energy, eV per atom: -4.70
Energy above the most stable polymorph in this dataset, meV/atom: 52


Computed, not measured: a relaxed NaNb3Sn crystal at the PBE-GGA level of DFT.

a = 5.1632 Å, b = 5.1632 Å, c = 5.1632 Å
α = 90.00°, β = 90.00°, γ = 90.00°
Positions (direct):
1 Nb 0.0000 0.0000 0.5000
2 Nb 0.5000 0.0000 0.0000
3 Nb 0.0000 0.5000 0.0000
4 Sn 0.0000 0.0000 0.0000
5 Na 0.5000 0.5000 0.5000

Properties
Final energy, eV per atom: -5.46
Energy above the most stable polymorph in this dataset, meV/atom: 0


Computed, not measured: a relaxed NaNb3Sn crystal at the PBE-GGA level of DFT.

a = 4.7060 Å, b = 4.7060 Å, c = 4.7060 Å
α = 90.00°, β = 90.00°, γ = 90.00°
Positions (direct):
1 Nb 0.5000 0.0000 0.0000
2 Nb 0.0000 0.0000 0.5000
3 Nb 0.0000 0.5000 0.0000
4 Na 0.0000 0.0000 0.0000
5 Sn 0.5000 0.5000 0.5000

Properties
Final energy, eV per atom: -5.39
Energy above the most stable polymorph in this dataset, meV/atom: 64


Computed, not measured: a relaxed NaNbTlSn2 crystal at the PBE-GGA level of DFT.

a = 5.7248 Å, b = 5.5300 Å, c = 5.7248 Å
α = 90.00°, β = 90.00°, γ = 90.00°
Each line ends with the local moment (μB).
Positions (direct):
1 Nb 0.0000 0.5000 0.0000  2.40
2 Sn 0.0000 0.0000 0.5000  -0.05
3 Sn 0.5000 0.0000 0.0000  -0.03
4 Tl 0.0000 0.0000 0.0000  0.04
5 Na 0.5000 0.5000 0.5000  0.00

Properties
Final energy, eV per atom: -3.29


Computed, not measured: a relaxed NaNbTl2Sn crystal at the PBE-GGA level of DFT.

a = 5.2759 Å, b = 5.4304 Å, c = 5.2759 Å
α = 90.00°, β = 90.00°, γ = 90.00°
Each line ends with the local moment (μB).
Positions (direct):
1 Tl 0.0000 0.0000 0.5000  0.00
2 Tl 0.5000 0.0000 0.0000  0.01
3 Na 0.0000 0.0000 0.0000  -0.01
4 Nb 0.5000 0.5000 0.5000  2.57
5 Sn 0.0000 0.5000 0.0000  -0.13

Properties
Final energy, eV per atom: -2.89


Computed, not measured: a relaxed NaSrNb crystal at the PBE-GGA level of DFT.

a = 3.6075 Å, b = 3.6075 Å, c = 15.1098 Å
α = 89.97°, β = 89.97°, γ = 89.99°
Positions (direct):
1 Nb 0.6772 0.2057 0.4404
2 Nb 0.1775 0.7059 0.3729
3 Na 0.6797 0.2081 0.2210
4 Na 0.1799 0.7072 0.0362
5 Sr 0.6772 0.2056 0.8326
6 Sr 0.1769 0.7054 0.6002

Properties
Final energy, eV per atom: -4.00
Energy above the most stable polymorph in this dataset, meV/atom: 92


Computed, not measured: a relaxed NaSrNb crystal at the PBE-GGA level of DFT.

a = 5.8754 Å, b = 5.8754 Å, c = 6.8595 Å
α = 90.00°, β = 90.00°, γ = 120.00°
Each line ends with the local moment (μB).
Positions (direct):
1 Nb 0.6667 0.3333 0.7500  2.76
2 Nb 0.3333 0.6667 0.2500  2.76
3 Na 0.0000 0.0000 0.0000  -0.01
4 Na 0.0000 0.0000 0.5000  -0.01
5 Sr 0.6667 0.3333 0.2500  0.15
6 Sr 0.3333 0.6667 0.7500  0.15

Properties
Final energy, eV per atom: -3.20
Energy above the most stable polymorph in this dataset, meV/atom: 887


Computed, not measured: a relaxed NaSrNb crystal at the PBE-GGA level of DFT.

a = 8.7022 Å, b = 3.5098 Å, c = 12.1156 Å
α = 90.00°, β = 90.00°, γ = 90.00°
Positions (direct):
1 Sr 0.6568 0.2500 0.7425
2 Sr 0.8432 0.7500 0.2425
3 Sr 0.3432 0.7500 0.2575
4 Sr 0.1568 0.2500 0.7575
5 Na 0.1385 0.2500 0.0541
6 Na 0.8615 0.7500 0.9459
7 Na 0.6385 0.2500 0.4459
8 Na 0.3615 0.7500 0.5541
9 Nb 0.4232 0.7500 0.9473
10 Nb 0.5768 0.2500 0.0527
11 Nb 0.9232 0.7500 0.5527
12 Nb 0.0768 0.2500 0.4473

Properties
Final energy, eV per atom: -3.80
Energy above the most stable polymorph in this dataset, meV/atom: 289


Computed, not measured: a relaxed NaSrNb crystal at the PBE-GGA level of DFT.

a = 9.7133 Å, b = 7.3550 Å, c = 5.6070 Å
α = 90.00°, β = 90.00°, γ = 90.00°
Each line ends with the local moment (μB).
Positions (direct):
1 Na 0.3331 0.7500 0.9998  0.00
2 Na 0.8331 0.7500 0.5002  0.00
3 Na 0.1669 0.2500 0.4998  0.00
4 Na 0.6669 0.2500 0.0002  0.00
5 Sr 0.0000 0.5000 0.0000  0.10
6 Sr 0.5000 0.5000 0.5000  0.10
7 Sr 0.0000 0.0000 0.0000  0.11
8 Sr 0.5000 0.0000 0.5000  0.11
9 Nb 0.8336 0.2500 0.5002  2.72
10 Nb 0.1664 0.7500 0.4998  2.72
11 Nb 0.3336 0.2500 0.9998  2.72
12 Nb 0.6664 0.7500 0.0002  2.72

Properties
Final energy, eV per atom: -3.19
Energy above the most stable polymorph in this dataset, meV/atom: 901